Entry P
A relaxed structure of BeGeB2, computed with PBE.

Calculated values
* M_tot: 0.0 μB per cell

Cell lengths 5.4346, 5.4346, 5.4346 Å; angles 90.00, 90.00, 90.00 degrees
Fractional positions:
Be: 0.0000 0.0000 0.0000
Be: 0.0000 0.5000 0.5000
Be: 0.5000 0.0000 0.5000
Be: 0.5000 0.5000 0.0000
Ge: 0.0000 0.0000 0.5000
Ge: 0.0000 0.5000 0.0000
Ge: 0.5000 0.0000 0.0000
Ge: 0.5000 0.5000 0.5000
B: 0.2500 0.2500 0.2500
B: 0.2500 0.2500 0.7500
B: 0.2500 0.7500 0.2500
B: 0.2500 0.7500 0.7500
B: 0.7500 0.2500 0.2500
B: 0.7500 0.2500 0.7500
B: 0.7500 0.7500 0.2500
B: 0.7500 0.7500 0.7500

Entry Q
A relaxed structure of BeGeB2, computed with PBE.

Calculated values
* M_tot: 0.0 μB per cell

Cell lengths 5.1105, 5.1105, 7.5060 Å; angles 90.00, 90.00, 90.00 degrees
Fractional positions:
Be: 0.0000 0.0000 0.0000
Be: 0.0000 0.5000 0.2500
Be: 0.5000 0.0000 0.7500
Be: 0.5000 0.5000 0.5000
Ge: 0.0000 0.0000 0.5000
Ge: 0.0000 0.5000 0.7500
Ge: 0.5000 0.0000 0.2500
Ge: 0.5000 0.5000 0.0000
B: 0.2333 0.2500 0.1250
B: 0.2500 0.7333 0.3750
B: 0.2500 0.7667 0.8750
B: 0.2667 0.2500 0.6250
B: 0.7333 0.7500 0.6250
B: 0.7500 0.2333 0.8750
B: 0.7500 0.2667 0.3750
B: 0.7667 0.7500 0.1250

It comes down to entry Q, which is 240 meV per atom more stable than the next structure.